1.
Entry from OQMD: PmMgAs after structural relaxation (PBE).

Results
As for the space-group type: F-43m, No. 216. As for the raw total energy: -3.896 eV/atom. Its energy above the most stable polymorph in this dataset is 295 meV/atom.

Cell: 4.960 4.960 4.960 Å, 60.00 60.00 60.00°
Fractional coordinates of all 3 atoms:
Pm  0.000  0.000  0.000
Mg  0.250  0.250  0.250
As  0.750  0.750  0.750

***

2.
Entry from OQMD: DyTm2Mg3ZnIn2 after structural relaxation (PBE).

Results
As for the space-group type: Amm2, No. 38. As for the raw total energy: -3.112 eV/atom.

Cell: 4.531 7.457 7.457 Å, 120.42 90.00 90.00°
Fractional coordinates of all 9 atoms:
Dy  0.000  0.000  0.000
Tm  0.000  0.417  0.833
Tm  0.000  0.833  0.417
Mg  0.500  0.182  0.417
Mg  0.500  0.417  0.182
Mg  0.500  0.654  0.654
Zn  0.000  0.420  0.420
In  0.500  0.084  0.749
In  0.500  0.749  0.084

***

- raw total energy of number 2 (DyTm2Mg3ZnIn2)?
  -3.112 eV/atom